No. 1
The following is a DFT calculation (PBE) of crystalline BaZrO3 at its relaxed geometry.

abc: 5.8007 5.8007 6.5711
angles: 63.81 63.81 60.00
Fractional coordinates of all 10 atoms:
O (0.9401, 0.5047, 0.2163)
O (0.6610, 0.0599, 0.7837)
O (0.3390, 0.9401, 0.2163)
O (0.4953, 0.6610, 0.7837)
O (0.5047, 0.3390, 0.2163)
O (0.0599, 0.4953, 0.7837)
Ba (0.8710, 0.8710, 0.3871)
Ba (0.1290, 0.1290, 0.6129)
Zr (0.6564, 0.6564, 0.0307)
Zr (0.3436, 0.3436, 0.9693)

Calculated values
Magnetization in μB per formula unit: 0.0
Calculated total energy in eV/atom: -8.186

No. 2
The following is a DFT calculation (PBE) of crystalline BaZrO3 at its relaxed geometry.

abc: 4.2786 4.2786 4.9410
angles: 90.00 90.00 90.00
Fractional coordinates of all 5 atoms:
O (0.0000, 0.0000, 0.5000)
O (0.0000, 0.5000, 0.5000)
O (0.5000, 0.0000, 0.5000)
Zr (0.5000, 0.5000, 0.5000)
Ba (0.0000, 0.0000, 0.0000)

Calculated values
Magnetization in μB per formula unit: 0.0
Calculated total energy in eV/atom: -6.509

No. 3
The following is a DFT calculation (PBE) of crystalline BaZrO3 at its relaxed geometry.

abc: 5.9724 5.9724 5.9724
angles: 120.19 120.19 89.68
Fractional coordinates of all 10 atoms:
Ba (0.2500, 0.7500, 0.5000)
Ba (0.7500, 0.2500, 0.5000)
Zr (0.5000, 0.5000, 0.0000)
Zr (0.0000, 0.0000, 0.0000)
O (0.7500, 0.7500, 0.0000)
O (0.7726, 0.2726, 0.0451)
O (0.2726, 0.2274, 0.5000)
O (0.7274, 0.7726, 0.5000)
O (0.2274, 0.7274, 0.9549)
O (0.2500, 0.2500, 0.0000)

Calculated values
Magnetization in μB per formula unit: 0.0
Calculated total energy in eV/atom: -8.284